Record 1
# ZrFe2Ir (PBE, relaxed)
data_ZrFe2Ir
_chemical_formula_sum 'Zr1 Fe2 Ir1'
_symmetry_space_group_name_H-M 'P 4/m m m'
_symmetry_Int_Tables_number 123
_symmetry_space_group_name_Hall '-P 4 2'
_cell_length_a 3.8233
_cell_length_b 3.8233
_cell_length_c 4.0993
_cell_angle_alpha 90.00
_cell_angle_beta 90.00
_cell_angle_gamma 90.00
loop_
_atom_site_label
_atom_site_type_symbol
_atom_site_fract_x
_atom_site_fract_y
_atom_site_fract_z
Zr1 Zr 0.0000 0.0000 0.0000
Fe1 Fe 0.0000 0.5000 0.5000
Ir1 Ir 0.5000 0.5000 0.0000
# * energy: -8.83 eV per atom

Record 2
# GaPtRh2 (PBE, relaxed)
data_GaPtRh2
_chemical_formula_sum 'Ga4 Pt4 Rh8'
_symmetry_space_group_name_H-M 'I -4 2 d'
_symmetry_Int_Tables_number 122
_symmetry_space_group_name_Hall 'I -4 2bw'
_cell_length_a 3.7458
_cell_length_b 3.7458
_cell_length_c 18.2596
_cell_angle_alpha 90.00
_cell_angle_beta 90.00
_cell_angle_gamma 90.00
loop_
_atom_site_label
_atom_site_type_symbol
_atom_site_fract_x
_atom_site_fract_y
_atom_site_fract_z
Ga1 Ga 0.0000 0.0000 0.0000
Pt1 Pt 0.0000 0.0000 0.5000
Rh1 Rh 0.2464 0.2500 0.6250
# * energy: -5.90 eV per atom